First-principles (GGA-PBE) data for crystalline Ce2Er5Tm2 at its relaxed geometry, as listed in Alexandria.

The space group is C2/m. The value obtained for the electronic total energy is -42.59 eV per formula unit. Its formation energy is 115 meV/atom.

a = 5.535 Å, b = 8.646 Å, c = 8.815 Å
α = 43.96°, β = 71.70°, γ = 71.33°
Atoms (fractional coordinates):
Tm 0.438 0.344 0.780
Tm 0.562 0.656 0.220
Er 0.000 0.000 0.000
Er 0.679 0.995 0.648
Er 0.321 0.005 0.352
Er 0.208 0.643 0.941
Er 0.792 0.357 0.059
Ce 0.922 0.666 0.490
Ce 0.078 0.334 0.510